# SiNiSeN2

Crystalline SiNiSeN2 at its relaxed geometry (GGA-PBE, Alexandria).

Crystal system = tetragonal
Formation energy from raw total energies = 1247.8 meV/atom
DOS at the Fermi energy = 2.6 states/eV/f.u.
Total energy = -5.02 eV/atom
Energy above the lowest structure with this stoichiometry = 344 kJ/mol of formula units

a b c (Å): 3.723 3.723 5.097
angles (deg): 90.00 90.00 90.00
Space group P4/mmm (No. 123)
Inequivalent atoms, fractional coordinates:
Si 0.000 0.000 0.000 x1
Ni 0.500 0.500 0.500 x1
Se 0.500 0.500 0.000 x1
N 0.000 0.500 0.500 x2

# MnAgRh

Crystalline MnAgRh at its relaxed geometry (GGA-PBE, Alexandria).

Crystal system = orthorhombic
DFT formation energy = 0.144 eV/atom
DOS at the Fermi energy = 3.3 states/eV/f.u.
Total energy = -6.31 eV/atom
Energy above the lowest structure with this stoichiometry = 28 kJ/mol of formula units

a b c (Å): 2.745 16.216 3.910
angles (deg): 90.00 90.00 90.00
Space group Cmcm (No. 63)
Inequivalent atoms, fractional coordinates:
Mn 0.000 0.036 0.250 x4
Ag 0.000 0.203 0.250 x4
Rh 0.000 0.401 0.250 x4

# K2RbHgPd

Crystalline K2RbHgPd at its relaxed geometry (GGA-PBE, Alexandria).

Crystal system = tetragonal
DFT formation energy = 0.043 eV/atom
DOS at the Fermi energy = 3.6 states/eV/f.u.
Total energy = -1.69 eV/atom
Energy above the lowest structure with this stoichiometry = 45 kJ/mol of formula units

a b c (Å): 6.216 6.216 6.479
angles (deg): 90.00 90.00 90.00
Space group P4/mmm (No. 123)
Inequivalent atoms, fractional coordinates:
K 0.000 0.500 0.000 x2
Rb 0.000 0.000 0.500 x1
Hg 0.500 0.500 0.500 x1
Pd 0.000 0.000 0.000 x1